# 1
Below is an optimized crystal structure of TaBrCl2, with properties calculated at the PBE-GGA level.

Cell: 3.0524 3.0524 9.3357 Å, 90.00 90.00 90.00°
With the nearest neighbours (Å) after each atom.
Element x y z (fractional)
Cl (0.0000, 0.0000, 0.0864)  4 Ta 2.64
Cl (0.0000, 0.0000, 0.4136)  4 Ta 2.64
Br (0.5000, 0.5000, 0.7500)  4 Br 3.05
Ta (0.5000, 0.5000, 0.2500)  8 Cl 2.64

- Spin magnetization: 0.00 μB per formula unit
- Space-group type: P4/mmm, No. 123
- Relative energy among the computed polymorphs: 675 meV per atom
- Formation energy from raw total energies: -0.319 eV/atom

# 2
Below is an optimized crystal structure of Pm6Dy2Y3Tm, with properties calculated at the PBE-GGA level.

Cell: 6.2475 6.2475 11.8391 Å, 95.03 95.03 119.99°
With the nearest neighbours (Å) after each atom.
Element x y z (fractional)
Pm (0.9168, 0.5839, 0.7515)  2 Dy 3.57, 1 Tm 3.57, 3 Y 3.60, 6 Pm 3.60-3.61
Pm (0.7502, 0.7502, 0.2487)  1 Tm 3.57, 2 Dy 3.57, 3 Y 3.59-3.60, 6 Pm 3.60-3.61
Pm (0.0832, 0.4161, 0.2485)  2 Dy 3.57, 1 Tm 3.57, 3 Y 3.60, 6 Pm 3.60-3.61
Pm (0.5839, 0.9168, 0.7515)  2 Dy 3.57, 1 Tm 3.57, 3 Y 3.60, 6 Pm 3.60-3.61
Pm (0.2498, 0.2498, 0.7513)  1 Tm 3.57, 2 Dy 3.57, 3 Y 3.59-3.60, 6 Pm 3.60-3.61
Pm (0.4161, 0.0832, 0.2485)  2 Dy 3.57, 1 Tm 3.57, 3 Y 3.60, 6 Pm 3.60-3.61
Dy (0.3334, 0.6666, 0.0000)  6 Pm 3.57, 3 Dy 3.61, 3 Tm 3.61
Dy (0.6666, 0.3334, 0.0000)  6 Pm 3.57, 3 Dy 3.61, 3 Tm 3.61
Y (0.1666, 0.8334, 0.5000)  6 Pm 3.59-3.60, 6 Y 3.61
Y (0.8334, 0.1666, 0.5000)  6 Pm 3.59-3.60, 6 Y 3.61
Y (0.5000, 0.5000, 0.5000)  6 Pm 3.60, 6 Y 3.61
Tm (0.0000, 0.0000, 0.0000)  6 Pm 3.57, 6 Dy 3.61

- Spin magnetization: 0.00 μB per formula unit
- Space-group type: C2/m, No. 12
- Formation enthalpy at 0 K: 12 meV per atom

# 3
Below is an optimized crystal structure of Rb2AsBr2F4, with properties calculated at the PBE-GGA level.

Cell: 6.5114 6.5114 6.5114 Å, 100.75 114.00 114.00°
With the nearest neighbours (Å) after each atom.
Element x y z (fractional)
Rb (0.5000, 0.7500, 0.2500)  8 F 3.30, 4 Br 3.58
Rb (0.5000, 0.2500, 0.7500)  8 F 3.30, 4 Br 3.58
As (0.0000, 0.0000, 0.0000)  4 F 1.94
Br (0.0000, 0.6913, 0.6913)  1 As 2.56
Br (0.0000, 0.3087, 0.3087)  1 As 2.56
F (0.0000, 0.8065, 0.1935)  1 As 1.94
F (0.6129, 0.8065, 0.8065)  1 As 1.94
F (0.0000, 0.1935, 0.8065)  1 As 1.94
F (0.3871, 0.1935, 0.1935)  1 As 1.94

- Spin magnetization: 0.00 μB per formula unit
- Space-group type: I4/mmm, No. 139
- Formation energy from raw total energies: -1.940 eV/atom

# 4
Below is an optimized crystal structure of CsSrCdHg, with properties calculated at the PBE-GGA level.

Cell: 6.0789 6.0789 6.0789 Å, 60.00 60.00 60.00°
With the nearest neighbours (Å) after each atom.
Element x y z (fractional)
Cs (0.0000, 0.0000, 0.0000)  4 Hg 3.72, 4 Cd 3.72
Sr (0.5000, 0.5000, 0.5000)  4 Cd 3.72, 4 Hg 3.72
Hg (0.7500, 0.7500, 0.7500)  4 Sr 3.72, 4 Cs 3.72
Cd (0.2500, 0.2500, 0.2500)  4 Cs 3.72, 4 Sr 3.72

- Spin magnetization: 0.00 μB per formula unit
- Space-group type: F-43m, No. 216
- Formation enthalpy at 0 K: -118 meV per atom

# 5
Below is an optimized crystal structure of Zr3In, with properties calculated at the PBE-GGA level.

Cell: 5.0286 5.0284 5.0247 Å, 120.02 120.03 90.00°
With the nearest neighbours (Å) after each atom.
Element x y z (fractional)
Zr (0.0000, 0.0000, 0.5000)  8 Zr 3.08
Zr (0.2500, 0.7500, 0.0000)  4 In 3.08, 4 Zr 3.08
Zr (0.7500, 0.2500, 0.0000)  4 In 3.08, 4 Zr 3.08
In (0.5000, 0.5000, 0.5000)  8 Zr 3.08

- Spin magnetization: 0.50 μB per formula unit
- Space-group type: I4/mmm, No. 139
- Formation enthalpy at 0 K: -89 meV per atom

# 6
Below is an optimized crystal structure of BHCl2, with properties calculated at the PBE-GGA level.

Cell: 6.3802 6.3802 6.3802 Å, 36.24 36.24 36.24°
With the nearest neighbours (Å) after each atom.
Element x y z (fractional)
H (0.0000, 0.0000, 0.0000)  2 Cl 1.56
B (0.5000, 0.5000, 0.5000)  6 Cl 2.69
Cl (0.9127, 0.9127, 0.9127)  1 H 1.56
Cl (0.0873, 0.0873, 0.0873)  1 H 1.56

- Spin magnetization: 0.00 μB per formula unit
- Space-group type: R-3m, No. 166
- Relative energy among the computed polymorphs: 1219 meV per atom

# 7
Below is an optimized crystal structure of ThAs2P2Pd7, with properties calculated at the PBE-GGA level.

Cell: 4.5038 4.5038 11.1181 Å, 88.35 88.35 100.97°
With the nearest neighbours (Å) after each atom.
Element x y z (fractional)
Th (0.0000, 0.0000, 0.0000)  2 P 2.86, 2 Pd 2.87
As (0.8575, 0.8575, 0.3881)  4 Pd 2.46-2.75
As (0.1425, 0.1425, 0.6119)  4 Pd 2.46-2.75
P (0.6870, 0.6870, 0.8067)  6 Pd 2.34-2.41
P (0.3130, 0.3130, 0.1933)  6 Pd 2.34-2.41
Pd (0.5000, 0.5000, 0.0000)  2 P 2.36
Pd (0.3330, 0.3330, 0.4095)  1 P 2.41, 1 As 2.46
Pd (0.6670, 0.6670, 0.5905)  1 P 2.41, 1 As 2.46
Pd (0.8424, 0.4446, 0.2350)  2 P 2.34-2.41, 1 As 2.55
Pd (0.4446, 0.8424, 0.2350)  2 P 2.34-2.41, 1 As 2.55
Pd (0.5554, 0.1576, 0.7650)  2 P 2.34-2.41, 1 As 2.55
Pd (0.1576, 0.5554, 0.7650)  2 P 2.34-2.41, 1 As 2.55

- Spin magnetization: 0.00 μB per formula unit
- Space-group type: C2/m, No. 12
- Formation enthalpy at 0 K: -440 meV per atom

# 8
Below is an optimized crystal structure of Cs2Hg3Bi4Pb, with properties calculated at the PBE-GGA level.

Cell: 5.2095 5.2095 13.7195 Å, 90.00 90.00 90.00°
With the nearest neighbours (Å) after each atom.
Element x y z (fractional)
Cs (0.5000, 0.0000, 0.2470)  6 Hg 3.97-4.34, 8 Bi 4.03-4.27, 2 Pb 4.34
Cs (0.0000, 0.5000, 0.7530)  6 Hg 3.97-4.34, 8 Bi 4.03-4.27, 2 Pb 4.34
Hg (0.0000, 0.0000, 0.5000)  4 Bi 3.18
Hg (0.5000, 0.0000, 0.8612)  5 Bi 3.13-3.23
Hg (0.0000, 0.5000, 0.1388)  5 Bi 3.13-3.23
Bi (0.5000, 0.5000, 0.0000)  4 Hg 3.23
Bi (0.0000, 0.0000, 0.0000)  4 Hg 3.23
Bi (0.5000, 0.0000, 0.6333)  3 Hg 3.13-3.18, 2 Pb 3.18
Bi (0.0000, 0.5000, 0.3667)  3 Hg 3.13-3.18, 2 Pb 3.18
Pb (0.5000, 0.5000, 0.5000)  4 Bi 3.18

- Spin magnetization: 0.00 μB per formula unit
- Space-group type: P-4m2, No. 115
- Formation enthalpy at 0 K: -174 meV per atom

Number 1: calculated density 6.3 g/cm³, E_tot -4.624 eV/atom. Number 2: calculated density 6.9 g/cm³, E_tot -5.119 eV/atom. Number 3: calculated density 3.8 g/cm³, E_tot -3.875 eV/atom. Number 4: calculated density 5.6 g/cm³, E_tot -1.056 eV/atom. Number 5: calculated density 7.2 g/cm³, E_tot -7.185 eV/atom. Number 6: calculated density 1.7 g/cm³, E_tot -2.830 eV/atom. Number 7: calculated density 8.9 g/cm³, E_tot -5.764 eV/atom. Number 8: calculated density 8.5 g/cm³, E_tot -2.359 eV/atom.